# 1
A relaxed PmZrTaN3 crystal. Source: Alexandria, functional PBE.

a = 6.9784 Å, b = 3.2408 Å, c = 8.2723 Å
α = 90.00°, β = 92.83°, γ = 90.00°
Space group P2_1/m (No. 11)
Unique sites:
Pm1 0.1394 0.2500 0.1759 [2 per cell]
Zr1 0.3744 0.7500 0.8651 [2 per cell]
Ta1 0.1496 0.2500 0.5812 [2 per cell]
N1 0.1486 0.7500 0.4188 [2 per cell]
N2 0.1503 0.2500 0.8480 [2 per cell]
N3 0.4033 0.7500 0.1249 [2 per cell]

Properties
As for the spin magnetization: 0.00 μB per atom.

# 2
A relaxed TbPmN crystal. Source: Alexandria, functional PBE.

a = 3.5522 Å, b = 3.5522 Å, c = 6.2330 Å
α = 90.00°, β = 90.00°, γ = 120.00°
Space group P3m1 (No. 156)
Unique sites:
Tb1 0.0000 0.0000 0.0000 [1 per cell]
Pm1 0.6667 0.3333 0.4359 [1 per cell]
N1 0.3333 0.6667 0.2004 [1 per cell]

Properties
As for the spin magnetization: 0.07 μB per atom. The value obtained for the energy relative to the lowest polymorph listed for this composition is 0 meV per atom.

# 3
A relaxed Tb2PmN crystal. Source: Alexandria, functional PBE.

a = 3.5227 Å, b = 3.5227 Å, c = 27.3687 Å
α = 90.00°, β = 90.00°, γ = 120.00°
Space group R-3m (No. 166, hexagonal axes)
Unique sites:
Tb1 0.0000 0.0000 0.2165 [6 per cell]
Pm1 0.0000 0.0000 0.0000 [3 per cell]
N1 0.0000 0.0000 0.5000 [3 per cell]

Properties
As for the spin magnetization: 0.00 μB per atom. The value obtained for the energy relative to the lowest polymorph listed for this composition is 0 meV per atom.

Number 1: DOS(E_F) 2.8 states/eV/f.u., electronic total energy -9.495 eV per atom, ΔE_f (raw) -1.14 eV/atom. Number 2: DOS(E_F) 3.1 states/eV/f.u., electronic total energy -6.856 eV per atom, ΔE_f (raw) -0.95 eV/atom. Number 3: DOS(E_F) 3.5 states/eV/f.u., electronic total energy -6.345 eV per atom, ΔE_f (raw) -0.76 eV/atom.